CaCu4Ni2: relaxed, PBE.

abc: 4.8772 6.2896 6.2994
angles: 90.00 90.00 90.00
Space group Immm (No. 71)
Unique sites:
Ca: 0.0000 0.0000 0.0000
Cu: 0.0000 0.3044 0.3046
Ni: 0.2503 0.0000 0.5000

Values from the calculation:
- calculated formation energy (eV per atom) = -0.0605
- DOS at the Fermi energy (states/eV/f.u.) = 5.552

---

Ca2Cu5Ni5: relaxed, PBE.

abc: 4.0001 4.9800 8.6773
angles: 90.00 90.00 90.00
Space group Pmmm (No. 47)
Unique sites:
Ca: 0.0000 0.0000 0.0000
Ca: 0.0000 0.5000 0.5000
Cu: 0.0000 0.0000 0.3267
Cu: 0.0000 0.5000 0.1672
Cu: 0.5000 0.0000 0.5000
Ni: 0.5000 0.2488 0.2464
Ni: 0.5000 0.5000 0.0000

Values from the calculation:
- calculated formation energy (eV per atom) = -0.1346
- DOS at the Fermi energy (states/eV/f.u.) = 8.826

---

CaCuNi2: relaxed, PBE.

abc: 7.1306 4.1185 5.3525
angles: 90.00 116.73 90.00
Space group C2/m (No. 12)
Unique sites:
Ca: 0.0000 0.0000 0.0000
Cu: 0.0000 0.5000 0.5000
Ni: 0.1868 0.0000 0.5601

Values from the calculation:
- calculated formation energy (eV per atom) = -0.0865
- DOS at the Fermi energy (states/eV/f.u.) = 4.128

---

| no. | DFT total energy (eV/atom) |
| --- | --- |
| 1 | -4.339 |
| 2 | -4.584 |
| 3 | -4.502 |